Entry 1:
TiCuPd5 | PBE | relaxed

Cell lengths 6.4649, 6.4649, 6.7830 Å; angles 110.86, 110.86, 86.16 degrees
Last column: nearest neighbours and their distance in Å.
Atoms (fractional coordinates):
Ti 0.0257 0.9743 0.7500  7 Pd 2.38-2.58
Ti 0.9743 0.0257 0.2500  7 Pd 2.38-2.58
Cu 0.5000 0.5000 0.0000  6 Pd 2.48-2.77
Cu 0.5000 0.5000 0.5000  6 Pd 2.48-2.77
Pd 0.1060 0.6785 0.0295  1 Ti 2.50, 3 Pd 2.60-2.68, 1 Cu 2.77
Pd 0.1115 0.3012 0.6516  2 Ti 2.53-2.58, 1 Pd 2.70, 1 Cu 2.75
Pd 0.2950 0.7050 0.7500  1 Ti 2.38, 2 Cu 2.48, 2 Pd 2.65
Pd 0.3012 0.1115 0.1516  2 Ti 2.53-2.58, 1 Pd 2.70, 1 Cu 2.75
Pd 0.3215 0.8940 0.4705  1 Ti 2.50, 3 Pd 2.60-2.68, 1 Cu 2.77
Pd 0.6785 0.1060 0.5295  1 Ti 2.50, 3 Pd 2.60-2.68, 1 Cu 2.77
Pd 0.6988 0.8885 0.8484  2 Ti 2.53-2.58, 1 Pd 2.70, 1 Cu 2.75
Pd 0.7050 0.2950 0.2500  1 Ti 2.38, 2 Cu 2.48, 2 Pd 2.65
Pd 0.8885 0.6988 0.3484  2 Ti 2.53-2.58, 1 Pd 2.70, 1 Cu 2.75
Pd 0.8940 0.3215 0.9705  1 Ti 2.50, 3 Pd 2.60-2.68, 1 Cu 2.77

Its excess energy over the best structure of this formula in the dataset is 293 meV/atom. Its energy of formation is 0.012 eV per atom. Its crystal system is monoclinic. The value obtained for the total magnetization is 0.0 μB/f.u.

Entry 2:
TiCu3Pd6 | PBE | relaxed

Cell lengths 9.9143, 2.7461, 11.0402 Å; angles 90.00, 102.07, 90.00 degrees
Last column: nearest neighbours and their distance in Å.
Atoms (fractional coordinates):
Ti 0.0427 0.2500 0.2134  7 Pd 2.49-2.77, 2 Ti 2.75
Ti 0.9573 0.7500 0.7866  7 Pd 2.49-2.77, 2 Ti 2.75
Cu 0.0768 0.2500 0.5862  6 Pd 2.57-2.70, 4 Cu 2.57-2.75
Cu 0.3696 0.7500 0.9968  7 Pd 2.54-2.80, 2 Cu 2.75
Cu 0.4218 0.2500 0.4010  8 Pd 2.62-2.79, 4 Cu 2.75-2.77
Cu 0.5782 0.7500 0.5990  8 Pd 2.62-2.79, 4 Cu 2.75-2.77
Cu 0.6304 0.2500 0.0032  7 Pd 2.54-2.80, 2 Cu 2.75
Cu 0.9232 0.7500 0.4138  6 Pd 2.57-2.70, 4 Cu 2.57-2.75
Pd 0.1203 0.2500 0.9808  8 Pd 2.75-2.89, 3 Ti 2.77-2.83, 2 Cu 2.80
Pd 0.1832 0.7500 0.4171  5 Cu 2.57-2.77, 5 Pd 2.72-2.80, 2 Ti 2.75
Pd 0.2070 0.7500 0.7793  1 Ti 2.49, 3 Cu 2.60-2.64, 3 Pd 2.75-2.78
Pd 0.2673 0.7500 0.1982  3 Cu 2.63-2.79, 2 Ti 2.65, 7 Pd 2.72-2.88
Pd 0.3483 0.2500 0.6155  4 Cu 2.62-2.70, 8 Pd 2.75-2.86
Pd 0.4932 0.7500 0.8167  4 Cu 2.54-2.71, 7 Pd 2.75-2.78
Pd 0.5068 0.2500 0.1833  4 Cu 2.54-2.71, 7 Pd 2.75-2.78
Pd 0.6517 0.7500 0.3845  4 Cu 2.62-2.70, 8 Pd 2.75-2.86
Pd 0.7327 0.2500 0.8018  3 Cu 2.63-2.79, 2 Ti 2.65, 7 Pd 2.72-2.88
Pd 0.7930 0.2500 0.2207  1 Ti 2.49, 3 Cu 2.60-2.64, 3 Pd 2.75-2.78
Pd 0.8168 0.2500 0.5829  5 Cu 2.57-2.77, 5 Pd 2.72-2.80, 2 Ti 2.75
Pd 0.8797 0.7500 0.0192  8 Pd 2.75-2.89, 3 Ti 2.77-2.83, 2 Cu 2.80

Its excess energy over the best structure of this formula in the dataset is 103 meV/atom. Its energy of formation is -0.195 eV per atom. Its crystal system is monoclinic. The value obtained for the total magnetization is 0.0 μB/f.u.

- Which value of energy of formation does entry 1 give?
  0.012 eV per atom

- Which of these has the lowest energy of formation?
  TiCu3Pd6

- What is the energy of formation in the first record?
  0.012 eV per atom

- Which formula does entry 1 have?
  TiCuPd5